! Na3In2CoO6 PBE+U optimized geometry; values from VASP
&SYSTEM
  ibrav = 0, nat = 12, ntyp = 4
/
ATOMIC_SPECIES
Na 22.99 Na.upf
In 114.82 In.upf
Co 58.93 Co.upf
O 16.00 O.upf
ATOMIC_POSITIONS crystal
Na 0.000 0.000 0.000
Na 0.339 0.661 0.000
Na 0.661 0.339 0.000
In 0.167 0.833 0.500
In 0.833 0.167 0.500
Co 0.500 0.500 0.500
O 0.127 0.432 0.294
O 0.263 0.263 0.701
O 0.432 0.127 0.294
O 0.568 0.873 0.706
O 0.737 0.737 0.299
O 0.873 0.568 0.706
CELL_PARAMETERS angstrom
2.746 -4.761 0.000
2.746 4.761 0.000
-1.831 0.000 5.453
! E (hartree per atom): -0.1897